An optimized crystal structure of Sc3Nb2WC6. Source: Alexandria via LeMat-Bulk, functional PBE.

Computed properties:
Electronic total energy, Ry/atom: -0.6963
Crystal system: monoclinic
DOS at the Fermi energy, states/eV/atom: 0.1545

Structure (POSCAR):
```
Sc3Nb2WC6
1.0
2.759 -4.777 0.000
2.759 4.777 0.000
-1.834 0.000 5.299
Sc Nb W C
3 2 1 6
Direct
0.000 0.000 0.000
0.333 0.667 0.000
0.667 0.333 0.000
0.167 0.833 0.500
0.833 0.167 0.500
0.500 0.500 0.500
0.094 0.422 0.265
0.251 0.251 0.735
0.422 0.094 0.265
0.578 0.906 0.735
0.749 0.749 0.265
0.906 0.578 0.735
```

---

An optimized crystal structure of Mg5Si6. Source: Alexandria via LeMat-Bulk, functional PBE.

Computed properties:
Electronic total energy, Ry/atom: -0.2647
Crystal system: monoclinic
DOS at the Fermi energy, states/eV/atom: 0.3754
Raw formation energy, eV/atom: 0.08

Structure (POSCAR):
```
Mg5Si6
1.0
5.281 0.000 0.000
0.000 14.145 0.000
-1.137 0.000 5.447
Mg Si
10 12
Direct
0.022 0.000 0.275
0.122 0.880 0.795
0.195 0.090 0.813
0.364 0.290 0.986
0.396 0.636 0.556
0.604 0.136 0.444
0.636 0.790 0.014
0.805 0.590 0.187
0.878 0.380 0.205
0.978 0.500 0.725
0.122 0.796 0.300
0.139 0.221 0.437
0.160 0.688 0.965
0.327 0.488 0.210
0.456 0.355 0.493
0.497 0.971 0.164
0.503 0.471 0.836
0.544 0.855 0.507
0.673 0.988 0.790
0.840 0.188 0.035
0.861 0.721 0.563
0.878 0.296 0.700
```

---

An optimized crystal structure of CoRu. Source: Alexandria via LeMat-Bulk, functional PBE.

Computed properties:
Electronic total energy, Ry/atom: -0.5723
Crystal system: hexagonal
DOS at the Fermi energy, states/eV/atom: 1.3660

Structure (POSCAR):
```
CoRu
1.0
8.460 0.000 0.000
-4.230 7.327 0.000
0.000 0.000 2.627
Co Ru
6 6
Direct
0.146 0.543 0.250
0.397 0.854 0.250
0.457 0.603 0.250
0.543 0.397 0.750
0.603 0.146 0.750
0.854 0.457 0.750
0.048 0.768 0.250
0.232 0.280 0.250
0.280 0.048 0.750
0.720 0.952 0.250
0.768 0.720 0.750
0.952 0.232 0.750
```